(1)
VASP calculation (PBE) on Ba3LaS4 after structural relaxation.

Lattice parameters (Å, degrees): 7.7284 8.8948 7.6677 90.00 109.57 90.00
Closest atoms and distances in Å follow each position.
Space group P2/c (No. 13)
Unique sites:
Ba (0.0000, 0.1238, 0.2500)  6 S 3.14-3.30
Ba (0.0000, 0.3749, 0.7500)  6 S 3.13-3.32
Ba (0.5000, 0.3754, 0.2500)  6 S 3.15-3.17
La (0.5000, 0.1232, 0.7500)  6 S 2.98-3.00
S (0.2612, 0.3601, 0.5143)  1 La 2.98, 5 Ba 3.13-3.32
S (0.2727, 0.1141, 0.9982)  2 La 2.99-3.00, 4 Ba 3.14-3.30

- energy relative to the elements, uncorrected (eV per formula unit) = -16.55
- energy relative to the lowest polymorph listed for this composition (eV/atom) = 0.0000
- D(E_F) (states/eV/f.u.) = 1.85

---

(2)
VASP calculation (PBE) on BaLaS2 after structural relaxation.

Lattice parameters (Å, degrees): 7.3913 7.3913 7.3913 90.00 90.00 90.00
Closest atoms and distances in Å follow each position.
Space group Fm-3m (No. 225)
Unique sites:
Ba (0.0000, 0.0000, 0.0000)  8 S 3.20
La (0.0000, 0.0000, 0.5000)  8 S 3.20
S (0.2500, 0.2500, 0.2500)  4 Ba 3.20, 4 La 3.20

- energy relative to the elements, uncorrected (eV per formula unit) = -6.96
- energy relative to the lowest polymorph listed for this composition (eV/atom) = 0.3494
- D(E_F) (states/eV/f.u.) = 2.46

---

(3)
VASP calculation (PBE) on BaLaS2 after structural relaxation.

Lattice parameters (Å, degrees): 4.6695 4.6695 25.8420 90.00 90.00 120.00
Closest atoms and distances in Å follow each position.
Space group R-3m (No. 166, hexagonal axes)
Unique sites:
Ba (0.0000, 0.0000, 0.0000)  6 S 3.17
La (0.0000, 0.0000, 0.5000)  2 S 2.64
S (0.0000, 0.0000, 0.3979)  1 La 2.64

- energy relative to the elements, uncorrected (eV per formula unit) = -5.88
- energy relative to the lowest polymorph listed for this composition (eV/atom) = 0.6197
- D(E_F) (states/eV/f.u.) = 1.09

---

(4)
VASP calculation (PBE) on BaLa3S4 after structural relaxation.

Lattice parameters (Å, degrees): 4.2223 4.2223 28.0282 90.00 90.00 120.00
Closest atoms and distances in Å follow each position.
Space group P6_3/mmc (No. 194)
Unique sites:
Ba (0.3333, 0.6667, 0.2500)  6 S 3.17
La (0.0000, 0.0000, 0.0000)  6 S 2.95
La (0.3333, 0.6667, 0.6177)  6 S 2.93-2.96
S (0.0000, 0.0000, 0.1777)  3 La 2.96, 3 Ba 3.17
S (0.3333, 0.6667, 0.0596)  6 La 2.93-2.95

- energy relative to the elements, uncorrected (eV per formula unit) = -16.95
- D(E_F) (states/eV/f.u.) = 3.86